Below is a relaxed NbGa2SbC crystal, with properties calculated at the PBE-GGA level.

## Properties
Raw formation energy: 1879 meV/atom
V: 111 Å³ per cell
Total energy: -20.08 eV per cell
M_tot: 0.0 μB per cell

The structure in CIF format:
```
data_NbGa2SbC
_chemical_formula_sum 'Nb1 Ga2 Sb1 C1'
_symmetry_space_group_name_H-M 'P 1'
_symmetry_Int_Tables_number 1
_cell_length_a 5.239
_cell_length_b 4.061
_cell_length_c 5.239
_cell_angle_alpha 90.00
_cell_angle_beta 90.00
_cell_angle_gamma 90.00
loop_
_symmetry_equiv_pos_as_xyz
'x,y,z'
loop_
_atom_site_label
_atom_site_type_symbol
_atom_site_fract_x
_atom_site_fract_y
_atom_site_fract_z
Nb1 Nb 0.500 0.500 0.500
C1 C 0.000 0.500 0.000
Sb1 Sb 0.000 0.000 0.000
Ga1 Ga 0.000 0.000 0.500
Ga2 Ga 0.500 0.000 0.000
```